The following is a PBE calculation of a relaxed structure of Te2CICl, from the Alexandria database.

Cell and atoms, written as POSCAR:
```
Te2CICl
1.0
4.860 0.000 0.000
0.000 4.860 0.000
0.000 0.000 5.074
Te C I Cl
2 1 1 1
direct
0.000 0.500 0.000
0.500 0.000 0.000
0.000 0.000 0.000
0.000 0.000 0.500
0.500 0.500 0.500
```

Raw total energy = -13.7 eV for the cell shown
E above lowest polymorph = 0.000 eV per atom
Calculated volume = 119.9 Å³ per cell
Size of the total moment = 0.00 μB/cell
ρ = 6.0 g/cm³
Formation energy without anion corrections = 1.0375 eV per atom

***

The following is a PBE calculation of a relaxed structure of Cs4TlCl2, from the Alexandria database.

Cell and atoms, written as POSCAR:
```
Cs4TlCl2
1.0
7.126 0.000 0.000
0.000 7.126 0.000
0.000 0.000 18.454
Cs Tl Cl
8 2 4
direct
0.000 0.000 0.219
0.000 0.000 0.781
0.000 0.500 0.000
0.000 0.500 0.500
0.500 0.000 0.000
0.500 0.000 0.500
0.500 0.500 0.281
0.500 0.500 0.719
0.000 0.000 0.000
0.500 0.500 0.500
0.000 0.000 0.391
0.000 0.000 0.609
0.500 0.500 0.109
0.500 0.500 0.891
```

Raw total energy = -30.4 eV for the cell shown
Calculated volume = 937.1 Å³ per cell
Size of the total moment = 2.29 μB/cell
ρ = 2.9 g/cm³
Formation energy without anion corrections = -0.8179 eV per atom

***

The following is a PBE calculation of a relaxed structure of YCd2Os, from the Alexandria database.

Cell and atoms, written as POSCAR:
```
YCd2Os
1.0
3.549 0.000 0.000
0.000 4.224 0.000
-1.759 0.000 5.818
Y Cd Os
1 2 1
direct
0.000 0.000 0.000
0.271 0.000 0.543
0.671 0.500 0.347
0.426 0.500 0.850
```

Raw total energy = -19.0 eV for the cell shown
ΔE_f = 0.136 eV per atom
Calculated volume = 87.2 Å³ per cell
Size of the total moment = 0.00 μB/cell
ρ = 9.6 g/cm³

***

The following is a PBE calculation of a relaxed structure of USO, from the Alexandria database.

Cell and atoms, written as POSCAR:
```
USO
1.0
6.348 0.000 0.000
0.000 5.996 0.000
-4.605 0.000 6.120
U S O
4 4 4
direct
0.170 0.199 0.218
0.170 0.301 0.718
0.830 0.699 0.282
0.830 0.801 0.782
0.307 0.569 0.081
0.307 0.931 0.581
0.693 0.069 0.419
0.693 0.431 0.919
0.121 0.078 0.918
0.121 0.422 0.418
0.879 0.578 0.582
0.879 0.922 0.082
```

Raw total energy = -109.6 eV for the cell shown
Calculated volume = 232.9 Å³ per cell
Size of the total moment = 8.00 μB/cell
ρ = 8.2 g/cm³
Formation energy without anion corrections = -2.3418 eV per atom

***

The following is a PBE calculation of a relaxed structure of ZrAl2W, from the Alexandria database.

Cell and atoms, written as POSCAR:
```
ZrAl2W
1.0
3.513 0.000 0.000
0.000 4.582 0.000
0.000 0.000 8.732
Zr Al W
2 4 2
direct
0.000 0.000 0.000
0.500 0.500 0.000
0.000 0.000 0.507
0.000 0.500 0.268
0.500 0.000 0.268
0.500 0.500 0.507
0.000 0.500 0.734
0.500 0.000 0.734
```

Raw total energy = -57.9 eV for the cell shown
ΔE_f = 0.011 eV per atom
E above lowest polymorph = 0.195 eV per atom
Calculated volume = 140.6 Å³ per cell
Size of the total moment = 0.00 μB/cell
ρ = 7.8 g/cm³

***

The following is a PBE calculation of a relaxed structure of RbCuS3, from the Alexandria database.

Cell and atoms, written as POSCAR:
```
RbCuS3
1.0
3.472 0.000 0.000
0.000 4.190 0.000
0.000 0.000 7.960
Rb Cu S
1 1 3
direct
0.000 0.000 0.000
0.000 0.500 0.593
0.000 0.000 0.411
0.500 0.500 0.386
0.500 0.500 0.780
```

Raw total energy = -18.1 eV for the cell shown
Calculated volume = 115.8 Å³ per cell
Size of the total moment = 0.00 μB/cell
ρ = 3.5 g/cm³
Formation energy without anion corrections = -0.1237 eV per atom

***

The following is a PBE calculation of a relaxed structure of La5PrY2Sc, from the Alexandria database.

Cell and atoms, written as POSCAR:
```
La5PrY2Sc
1.0
9.221 0.000 0.000
0.000 9.221 0.000
0.000 0.000 7.489
La Pr Y Sc
10 2 4 2
direct
0.000 0.000 0.000
0.206 0.294 0.282
0.206 0.294 0.718
0.294 0.794 0.282
0.294 0.794 0.718
0.500 0.500 0.000
0.706 0.206 0.282
0.706 0.206 0.718
0.794 0.706 0.282
0.794 0.706 0.718
0.000 0.000 0.500
0.500 0.500 0.500
0.113 0.613 0.000
0.387 0.113 0.000
0.613 0.887 0.000
0.887 0.387 0.000
0.000 0.500 0.500
0.500 0.000 0.500
```

Raw total energy = -92.1 eV for the cell shown
ΔE_f = 0.294 eV per atom
Calculated volume = 636.8 Å³ per cell
Size of the total moment = 0.00 μB/cell
ρ = 5.5 g/cm³

***

The following is a PBE calculation of a relaxed structure of Nb2Ni2Ru, from the Alexandria database.

Cell and atoms, written as POSCAR:
```
Nb2Ni2Ru
1.0
6.759 0.000 0.000
0.000 6.759 0.000
0.000 0.000 3.170
Nb Ni Ru
4 4 2
direct
0.180 0.320 0.000
0.320 0.820 0.000
0.680 0.180 0.000
0.820 0.680 0.000
0.123 0.623 0.500
0.377 0.123 0.500
0.623 0.877 0.500
0.877 0.377 0.500
0.000 0.000 0.500
0.500 0.500 0.500
```

Raw total energy = -83.9 eV for the cell shown
ΔE_f = -0.190 eV per atom
E above lowest polymorph = 0.000 eV per atom
Calculated volume = 144.8 Å³ per cell
Size of the total moment = 0.00 μB/cell
ρ = 9.3 g/cm³

***

The following is a PBE calculation of a relaxed structure of Cr2NiTe, from the Alexandria database.

Cell and atoms, written as POSCAR:
```
Cr2NiTe
1.0
3.803 0.000 0.000
0.000 3.803 0.000
0.000 0.000 3.899
Cr Ni Te
2 1 1
direct
0.000 0.500 0.000
0.500 0.000 0.000
0.000 0.000 0.500
0.500 0.500 0.500
```

Raw total energy = -26.9 eV for the cell shown
Calculated volume = 56.4 Å³ per cell
Size of the total moment = 3.62 μB/cell
ρ = 8.5 g/cm³
Formation energy without anion corrections = 0.3102 eV per atom

***

The following is a PBE calculation of a relaxed structure of B2C, from the Alexandria database.

Cell and atoms, written as POSCAR:
```
B2C
1.0
4.988 0.000 0.000
0.000 2.587 0.000
-0.551 0.000 6.690
B C
8 4
direct
0.000 0.000 0.000
0.053 0.500 0.418
0.289 0.000 0.327
0.375 0.500 0.725
0.466 0.500 0.105
0.615 0.000 0.690
0.687 0.500 0.371
0.833 0.500 0.153
0.061 0.500 0.673
0.306 0.000 0.083
0.569 0.000 0.456
0.931 0.000 0.760
```

Raw total energy = -85.2 eV for the cell shown
ΔE_f = 0.424 eV per atom
E above lowest polymorph = 0.239 eV per atom
Calculated volume = 86.3 Å³ per cell
Size of the total moment = 0.00 μB/cell
ρ = 2.6 g/cm³

***

The following is a PBE calculation of a relaxed structure of Sr6NiAu2, from the Alexandria database.

Cell and atoms, written as POSCAR:
```
Sr6NiAu2
1.0
3.826 2.209 7.187
-3.826 2.209 7.187
0.000 -4.418 7.187
Sr Ni Au
6 1 2
direct
0.083 0.400 0.761
0.239 0.917 0.600
0.400 0.761 0.083
0.600 0.239 0.917
0.761 0.083 0.400
0.917 0.600 0.239
0.000 0.000 0.000
0.172 0.172 0.172
0.828 0.828 0.828
```

Raw total energy = -25.5 eV for the cell shown
ΔE_f = -0.337 eV per atom
Calculated volume = 364.5 Å³ per cell
Size of the total moment = 0.00 μB/cell
ρ = 4.5 g/cm³

***

The following is a PBE calculation of a relaxed structure of Sr3PmC4O12, from the Alexandria database.

Cell and atoms, written as POSCAR:
```
Sr3PmC4O12
1.0
5.213 3.010 3.122
-5.213 3.010 3.122
0.000 -6.019 3.122
Sr Pm C O
3 1 4 12
direct
0.000 0.514 0.486
0.486 0.000 0.514
0.514 0.486 0.000
0.000 0.000 0.000
0.021 0.500 0.979
0.500 0.500 0.500
0.500 0.979 0.021
0.979 0.021 0.500
0.041 0.643 0.872
0.103 0.897 0.500
0.128 0.357 0.959
0.357 0.959 0.128
0.376 0.624 0.500
0.500 0.103 0.897
0.500 0.376 0.624
0.624 0.500 0.376
0.643 0.872 0.041
0.872 0.041 0.643
0.897 0.500 0.103
0.959 0.128 0.357
```

Raw total energy = -149.0 eV for the cell shown
Calculated volume = 293.9 Å³ per cell
Size of the total moment = 0.98 μB/cell
ρ = 3.7 g/cm³
Formation energy without anion corrections = -2.1421 eV per atom